DFT (PBE) results for a relaxed structure of In2AsPt.

Unit cell a=4.014 b=4.014 c=6.826 alpha=73.60 beta=73.60 gamma=59.21
Fractional coordinates of all 4 atoms:
As (0.250, 0.250, 0.250)
Pt (0.750, 0.750, 0.750)
In (0.005, 0.005, 0.985)
In (0.495, 0.495, 0.515)

Results
- energy of formation from the pure elements (meV per atom) = -126.1
- space-group type = C2/m (12)